--- P ---
# Mn2Bi2Ru

Mn2Bi2Ru after structural relaxation (PBE, Alexandria).

Lattice parameters (Å, degrees): 7.0813 7.0813 3.9377 90.00 90.00 90.00
Last column: magnetic moment on the atom in μB.
Element x y z (fractional)
Ru1 0.5000 0.5000 0.0000  0.99
Ru2 0.0000 0.0000 0.0000  1.00
Mn1 0.3687 0.8687 0.0000  3.33
Mn2 0.1313 0.3687 0.0000  3.37
Mn3 0.6313 0.1313 0.0000  3.33
Mn4 0.8687 0.6313 0.0000  3.37
Bi1 0.6770 0.8230 0.5000  -0.13
Bi2 0.8230 0.3230 0.5000  -0.13
Bi3 0.1770 0.6770 0.5000  -0.13
Bi4 0.3230 0.1770 0.5000  -0.13

Results
The density of states at the Fermi level is 1.127 states/eV/atom. The value obtained for the total magnetic moment is 15.75 Bohr magnetons per cell. The space group is No. 127.

--- Q ---
# Mn2Bi2Ru

Mn2Bi2Ru after structural relaxation (PBE, Alexandria).

Lattice parameters (Å, degrees): 5.2974 5.2974 5.1604 59.12 59.12 90.00
Last column: magnetic moment on the atom in μB.
Element x y z (fractional)
Mn1 0.3598 0.3598 0.2805  1.64
Mn2 0.6402 0.6402 0.7195  1.64
Bi1 0.7500 0.2500 0.5000  -0.02
Bi2 0.2500 0.7500 0.5000  -0.02
Ru1 0.0000 0.0000 0.0000  0.17

Results
The density of states at the Fermi level is 1.062 states/eV/atom. The value obtained for the total magnetic moment is 3.65 Bohr magnetons per cell. The space group is No. 139.

If we sort the structures by their calculated energies, the order from most to least stable is P, Q.

--- P ---
# Mn3BiS

Mn3BiS after structural relaxation (PBE, Alexandria).

Lattice parameters (Å, degrees): 4.4024 4.4024 4.4024 90.00 90.00 90.00
Last column: magnetic moment on the atom in μB.
Element x y z (fractional)
Mn1 0.0000 0.5000 0.0000  2.73
Mn2 0.0000 0.0000 0.5000  2.65
Mn3 0.5000 0.0000 0.0000  2.92
Bi1 0.5000 0.5000 0.5000  -0.25
S1 0.0000 0.0000 0.0000  -0.08

Results
The density of states at the Fermi level is 1.629 states/eV/atom. The value obtained for the total magnetic moment is 8.17 Bohr magnetons per cell. The space group is No. 221.

--- Q ---
# Mn3BiS

Mn3BiS after structural relaxation (PBE, Alexandria).

Lattice parameters (Å, degrees): 5.2235 5.2235 5.2235 90.00 90.00 90.00
Last column: magnetic moment on the atom in μB.
Element x y z (fractional)
Mn1 0.0000 0.0000 0.5000  4.15
Mn2 0.0000 0.5000 0.0000  4.13
Mn3 0.5000 0.0000 0.0000  4.17
S1 0.5000 0.5000 0.5000  0.34
Bi1 0.0000 0.0000 0.0000  -0.05

Results
The density of states at the Fermi level is 0.966 states/eV/atom. The value obtained for the total magnetic moment is 14.00 Bohr magnetons per cell. The space group is No. 221.

If we sort the structures by their calculated energies, the order from most to least stable is P, Q.

--- P ---
# MnBi3S

MnBi3S after structural relaxation (PBE, Alexandria).

Lattice parameters (Å, degrees): 5.3699 5.3699 5.3699 90.00 90.00 90.00
Last column: magnetic moment on the atom in μB.
Element x y z (fractional)
Bi1 0.0000 0.0000 0.5000  -0.16
Bi2 0.0000 0.5000 0.0000  -0.14
Bi3 0.5000 0.0000 0.0000  -0.06
S1 0.0000 0.0000 0.0000  -0.03
Mn1 0.5000 0.5000 0.5000  4.33

Results
The density of states at the Fermi level is 0.841 states/eV/atom. The value obtained for the total magnetic moment is 4.21 Bohr magnetons per cell. The space group is No. 221.

--- Q ---
# MnBi3S

MnBi3S after structural relaxation (PBE, Alexandria).

Lattice parameters (Å, degrees): 5.1178 5.1178 5.1178 90.00 90.00 90.00
Last column: magnetic moment on the atom in μB.
Element x y z (fractional)
Bi1 0.5000 0.0000 0.0000  -0.14
Bi2 0.0000 0.5000 0.0000  -0.02
Bi3 0.0000 0.0000 0.5000  0.03
Mn1 0.0000 0.0000 0.0000  1.89
S1 0.5000 0.5000 0.5000  -0.16

Results
The density of states at the Fermi level is 0.575 states/eV/atom. The value obtained for the total magnetic moment is 1.57 Bohr magnetons per cell. The space group is No. 221.

If we sort the structures by their calculated energies, the order from most to least stable is Q, P.

--- P ---
# MnBi2S4

MnBi2S4 after structural relaxation (PBE, Alexandria).

Lattice parameters (Å, degrees): 4.5905 4.5905 8.0139 73.36 73.36 90.00
Last column: magnetic moment on the atom in μB.
Element x y z (fractional)
Bi1 0.6394 0.6394 0.7213  0.11
Bi2 0.3606 0.3606 0.2787  0.11
S1 0.5000 0.0000 0.0000  0.01
S2 0.0000 0.5000 0.0000  0.01
S3 0.8242 0.8242 0.3516  0.03
S4 0.1758 0.1758 0.6484  0.03
Mn1 0.0000 0.0000 0.0000  3.64

Results
The density of states at the Fermi level is 0.323 states/eV/atom. The value obtained for the total magnetic moment is 4.35 Bohr magnetons per cell. The space group is No. 139.

--- Q ---
# MnBi2S4

MnBi2S4 after structural relaxation (PBE, Alexandria).

Lattice parameters (Å, degrees): 7.9986 7.9986 8.0036 59.98 59.98 89.97
Last column: magnetic moment on the atom in μB.
Element x y z (fractional)
S1 0.2495 0.7478 0.0013  0.03
S2 0.7507 0.7492 0.5014  0.03
S3 0.2492 0.2507 0.0014  0.03
S4 0.7522 0.2505 0.4987  0.03
S5 0.7505 0.2522 0.9987  0.03
S6 0.7508 0.7493 0.9986  0.03
S7 0.2493 0.2508 0.4986  0.03
S8 0.2478 0.7495 0.5013  0.03
Bi1 0.5000 0.0000 0.5000  0.07
Bi2 0.0000 0.0000 0.0000  0.07
Bi3 0.5000 0.5000 0.5000  0.07
Bi4 0.5000 0.0000 0.0000  0.07
Mn1 0.1250 0.3750 0.2500  4.19
Mn2 0.8750 0.6250 0.7500  4.19

Results
The value obtained for the total magnetic moment is 10.00 Bohr magnetons per cell. The space group is No. 227.

If we sort the structures by their calculated energies, the order from most to least stable is Q, P.

--- P ---
# MnBi2Sb2

MnBi2Sb2 after structural relaxation (PBE, Alexandria).

Lattice parameters (Å, degrees): 6.9780 6.9780 5.5771 90.00 90.00 90.00
Element x y z (fractional)
Bi1 0.3374 0.8374 0.0000
Bi2 0.8374 0.6626 0.0000
Bi3 0.1626 0.3374 0.0000
Bi4 0.6626 0.1626 0.0000
Sb1 0.6572 0.8428 0.5000
Sb2 0.8428 0.3428 0.5000
Sb3 0.3428 0.1572 0.5000
Sb4 0.1572 0.6572 0.5000
Mn1 0.5000 0.5000 0.0000
Mn2 0.0000 0.0000 0.0000

Results
The density of states at the Fermi level is 1.280 states/eV/atom. The value obtained for the total magnetic moment is 0.03 Bohr magnetons per cell. The space group is No. 127.

--- Q ---
# MnBi2Sb2

MnBi2Sb2 after structural relaxation (PBE, Alexandria).

Lattice parameters (Å, degrees): 6.7424 6.7424 5.7303 90.00 90.00 90.00
Element x y z (fractional)
Sb1 0.6553 0.1553 0.0000
Sb2 0.1553 0.3447 0.0000
Sb3 0.8447 0.6553 0.0000
Sb4 0.3447 0.8447 0.0000
Bi1 0.6837 0.8163 0.5000
Bi2 0.3163 0.1837 0.5000
Bi3 0.8163 0.3163 0.5000
Bi4 0.1837 0.6837 0.5000
Mn1 0.5000 0.5000 0.0000
Mn2 0.0000 0.0000 0.0000

Results
The density of states at the Fermi level is 1.038 states/eV/atom. The value obtained for the total magnetic moment is 0.00 Bohr magnetons per cell. The space group is No. 127.

--- R ---
# MnBi2Sb2

MnBi2Sb2 after structural relaxation (PBE, Alexandria).

Lattice parameters (Å, degrees): 3.9210 3.9210 10.3780 79.11 79.11 90.00
Element x y z (fractional)
Bi1 0.5755 0.5755 0.8490
Bi2 0.4245 0.4245 0.1510
Sb1 0.2500 0.7500 0.5000
Sb2 0.7500 0.2500 0.5000
Mn1 0.0000 0.0000 0.0000

Results
The density of states at the Fermi level is 0.797 states/eV/atom. The value obtained for the total magnetic moment is 0.05 Bohr magnetons per cell. The space group is No. 139.

If we sort the structures by their calculated energies, the order from most to least stable is Q, P, R.

--- P ---
# ScMn3Bi

ScMn3Bi after structural relaxation (PBE, Alexandria).

Lattice parameters (Å, degrees): 4.7803 4.7803 4.7803 90.00 90.00 90.00
Last column: magnetic moment on the atom in μB.
Element x y z (fractional)
Sc1 0.0000 0.0000 0.0000  -0.62
Mn1 0.0000 0.5000 0.0000  3.33
Mn2 0.0000 0.0000 0.5000  3.13
Mn3 0.5000 0.0000 0.0000  3.66
Bi1 0.5000 0.5000 0.5000  -0.14

Results
The density of states at the Fermi level is 0.752 states/eV/atom. The value obtained for the total magnetic moment is 9.91 Bohr magnetons per cell. The space group is No. 221.

--- Q ---
# ScMn3Bi

ScMn3Bi after structural relaxation (PBE, Alexandria).

Lattice parameters (Å, degrees): 5.0187 5.0187 5.0187 90.00 90.00 90.00
Last column: magnetic moment on the atom in μB.
Element x y z (fractional)
Mn1 0.0000 0.5000 0.0000  3.59
Mn2 0.5000 0.0000 0.0000  3.50
Mn3 0.0000 0.0000 0.5000  3.55
Bi1 0.0000 0.0000 0.0000  -0.15
Sc1 0.5000 0.5000 0.5000  -0.77

Results
The density of states at the Fermi level is 2.281 states/eV/atom. The value obtained for the total magnetic moment is 9.41 Bohr magnetons per cell. The space group is No. 221.

If we sort the structures by their calculated energies, the order from most to least stable is Q, P.